[1]
Below is crystalline Th2ScBi3 at its relaxed geometry, with properties calculated at the PBE-GGA level.

a = 4.4788 Å, b = 6.4079 Å, c = 13.4940 Å
α = 90.00°, β = 90.00°, γ = 90.00°
Atoms (fractional coordinates):
Th  0.0000  0.0000  0.1724
Th  0.0000  0.0000  0.8276
Th  0.5000  0.5000  0.3276
Th  0.5000  0.5000  0.6724
Sc  0.0000  0.0000  0.5000
Sc  0.5000  0.5000  0.0000
Bi  0.0000  0.5000  0.1520
Bi  0.0000  0.5000  0.5000
Bi  0.0000  0.5000  0.8480
Bi  0.5000  0.0000  0.0000
Bi  0.5000  0.0000  0.3480
Bi  0.5000  0.0000  0.6520

The calculation puts the relative energy among the computed polymorphs at 0.0000 eV per atom. The total magnetic moment is 0.0 μB per formula unit. As for the formation energy from the elements: -0.57 eV per atom. For the theoretical density, the calculation gives 9.7 g/cm³. The calculation puts the density of states at the Fermi level at 0.61 states/eV/atom.

***

[2]
Below is crystalline Tb5Pr2Th4 at its relaxed geometry, with properties calculated at the PBE-GGA level.

a = 12.2828 Å, b = 12.2828 Å, c = 8.6754 Å
α = 94.49°, β = 94.49°, γ = 16.40°
Atoms (fractional coordinates):
Tb  0.0000  0.0000  0.0000
Tb  0.3161  0.3161  0.5280
Tb  0.3712  0.3712  0.9595
Tb  0.6288  0.6288  0.0405
Tb  0.6839  0.6839  0.4720
Pr  0.2262  0.2262  0.8239
Pr  0.7738  0.7738  0.1761
Th  0.0839  0.0839  0.6829
Th  0.4561  0.4561  0.6502
Th  0.5439  0.5439  0.3498
Th  0.9161  0.9161  0.3171

The total magnetic moment is 0.0 μB per formula unit. As for the formation energy from the elements: 0.12 eV per atom. For the theoretical density, the calculation gives 9.0 g/cm³. The calculation puts the density of states at the Fermi level at 1.38 states/eV/atom.

***

[3]
Below is crystalline Sc2TlCrAu at its relaxed geometry, with properties calculated at the PBE-GGA level.

a = 5.2057 Å, b = 5.2057 Å, c = 5.2345 Å
α = 90.00°, β = 90.00°, γ = 90.00°
Atoms (fractional coordinates):
Sc  0.0000  0.5000  0.0000
Sc  0.5000  0.0000  0.0000
Tl  0.0000  0.0000  0.5000
Cr  0.5000  0.5000  0.5000
Au  0.0000  0.0000  0.0000

The total magnetic moment is 4.6 μB per formula unit. As for the formation energy from the elements: 0.58 eV per atom. For the theoretical density, the calculation gives 6.4 g/cm³. The calculation puts the density of states at the Fermi level at 1.19 states/eV/atom.

***

[4]
Below is crystalline YErHg at its relaxed geometry, with properties calculated at the PBE-GGA level.

a = 7.1106 Å, b = 5.0682 Å, c = 9.1641 Å
α = 90.00°, β = 90.00°, γ = 90.00°
Atoms (fractional coordinates):
Y  0.0161  0.2500  0.1930
Y  0.4839  0.7500  0.6930
Y  0.5161  0.2500  0.3070
Y  0.9839  0.7500  0.8070
Er  0.1670  0.2500  0.5747
Er  0.3330  0.7500  0.0747
Er  0.6670  0.2500  0.9253
Er  0.8330  0.7500  0.4253
Hg  0.2417  0.2500  0.8984
Hg  0.2583  0.7500  0.3984
Hg  0.7417  0.2500  0.6016
Hg  0.7583  0.7500  0.1016

The calculation puts the relative energy among the computed polymorphs at 0.0000 eV per atom. The total magnetic moment is 0.0 μB per formula unit. As for the formation energy from the elements: -0.39 eV per atom. For the theoretical density, the calculation gives 9.2 g/cm³. The calculation puts the density of states at the Fermi level at 0.36 states/eV/atom.